Computed, not measured: a geometry-optimized YCrPO2 structure at the PBE with a Hubbard U level of DFT.

Geometry as POSCAR:
```
YCrPO2
1.0
3.8811 0.0000 0.0000
0.0000 3.8811 0.0000
0.0000 0.0000 4.8675
O Y Cr P
2 1 1 1
Direct
0.0000 0.5000 0.0000 O
0.5000 0.0000 0.0000 O
0.5000 0.5000 0.5000 Y
0.0000 0.0000 0.0000 Cr
0.0000 0.0000 0.5000 P
```

Computed properties:
N(E_F): 0.3637 states/eV per atom
mass density: 4.6 g/cm³
energy above the lowest structure with this stoichiometry: 0 meV/atom